No. 1
# HfTc3F

HfTc3F after structural relaxation (PBE, the Alexandria database).

Distance to the lowest polymorph of the same formula, kJ per mole of atoms: 145.78
Raw formation energy, meV/atom: 1963
VASP energy, eV/atom: -6.622

Unit cell a=4.988 b=4.988 c=4.988 alpha=90.00 beta=90.00 gamma=90.00
Space group Pm-3m (No. 221)
One atom of each set of equivalent atoms:
Hf1 0.000 0.000 0.000 (multiplicity 1)
Tc1 0.000 0.000 0.500 (multiplicity 3)
F1 0.500 0.500 0.500 (multiplicity 1)



No. 2
# Hf2TcF

Hf2TcF after structural relaxation (PBE, the Alexandria database).

Distance to the lowest polymorph of the same formula, kJ per mole of atoms: 0.00
Raw formation energy, meV/atom: -698
VASP energy, eV/atom: -8.734

Unit cell a=6.472 b=6.472 c=6.599 alpha=90.00 beta=90.00 gamma=90.00
Space group I-42d (No. 122)
One atom of each set of equivalent atoms:
Hf1 0.195 0.750 0.125 (multiplicity 8)
Tc1 0.000 0.000 0.500 (multiplicity 4)
F1 0.000 0.000 0.000 (multiplicity 4)



No. 3
# Hf3TcF

Hf3TcF after structural relaxation (PBE, the Alexandria database).

Raw formation energy, meV/atom: -346
VASP energy, eV/atom: -8.765

Unit cell a=4.441 b=4.441 c=4.441 alpha=90.00 beta=90.00 gamma=90.00
Space group Pm-3m (No. 221)
One atom of each set of equivalent atoms:
Hf1 0.000 0.000 0.500 (multiplicity 3)
Tc1 0.500 0.500 0.500 (multiplicity 1)
F1 0.000 0.000 0.000 (multiplicity 1)



No. 4
# HfTcF3

HfTcF3 after structural relaxation (PBE, the Alexandria database).

Distance to the lowest polymorph of the same formula, kJ per mole of atoms: 83.36
Raw formation energy, meV/atom: -431
VASP energy, eV/atom: -5.617

Unit cell a=4.207 b=4.207 c=4.207 alpha=90.00 beta=90.00 gamma=90.00
Space group Pm-3m (No. 221)
One atom of each set of equivalent atoms:
Hf1 0.000 0.000 0.000 (multiplicity 1)
Tc1 0.500 0.500 0.500 (multiplicity 1)
F1 0.000 0.500 0.500 (multiplicity 3)



No. 5
# Hf2TcF

Hf2TcF after structural relaxation (PBE, the Alexandria database).

Distance to the lowest polymorph of the same formula, kJ per mole of atoms: 11.77
Raw formation energy, meV/atom: -576
VASP energy, eV/atom: -8.612

Unit cell a=6.466 b=6.466 c=6.466 alpha=90.00 beta=90.00 gamma=90.00
Space group Fm-3m (No. 225)
One atom of each set of equivalent atoms:
Hf1 0.250 0.250 0.250 (multiplicity 8)
Tc1 0.000 0.000 0.000 (multiplicity 4)
F1 0.000 0.000 0.500 (multiplicity 4)



No. 6
# Hf2TeF

Hf2TeF after structural relaxation (PBE, the Alexandria database).

Distance to the lowest polymorph of the same formula, kJ per mole of atoms: 0.00
Raw formation energy, meV/atom: -695
VASP energy, eV/atom: -6.925

Unit cell a=6.692 b=6.692 c=6.692 alpha=90.00 beta=90.00 gamma=90.00
Space group Fm-3m (No. 225)
One atom of each set of equivalent atoms:
Hf1 0.250 0.250 0.250 (multiplicity 8)
Te1 0.000 0.000 0.000 (multiplicity 4)
F1 0.000 0.000 0.500 (multiplicity 4)



No. 7
# HfTeF3

HfTeF3 after structural relaxation (PBE, the Alexandria database).

Distance to the lowest polymorph of the same formula, kJ per mole of atoms: 0.00
Raw formation energy, meV/atom: -2752
VASP energy, eV/atom: -6.493

Unit cell a=5.348 b=5.864 c=5.952 alpha=77.77 beta=89.23 gamma=85.43
Space group P1 (No. 1)
One atom of each set of equivalent atoms:
Hf1 0.000 0.000 0.000 (multiplicity 1)
Hf2 0.458 0.190 0.453 (multiplicity 1)
Te1 0.257 0.527 0.977 (multiplicity 1)
Te2 0.589 0.613 0.615 (multiplicity 1)
F1 0.122 0.341 0.446 (multiplicity 1)
F2 0.254 0.002 0.250 (multiplicity 1)
F3 0.303 0.057 0.776 (multiplicity 1)
F4 0.749 0.166 0.217 (multiplicity 1)
F5 0.781 0.083 0.716 (multiplicity 1)
F6 0.793 0.759 0.146 (multiplicity 1)



No. 8
# HfTe2F

HfTe2F after structural relaxation (PBE, the Alexandria database).

Distance to the lowest polymorph of the same formula, kJ per mole of atoms: 37.71
Raw formation energy, meV/atom: -579
VASP energy, eV/atom: -5.106

Unit cell a=6.273 b=6.273 c=12.730 alpha=90.00 beta=90.00 gamma=90.00
Space group I-42d (No. 122)
One atom of each set of equivalent atoms:
Hf1 0.000 0.000 0.000 (multiplicity 4)
Te1 0.245 0.250 0.625 (multiplicity 8)
F1 0.000 0.000 0.500 (multiplicity 4)



No. 9
# HfTeF3

HfTeF3 after structural relaxation (PBE, the Alexandria database).

Distance to the lowest polymorph of the same formula, kJ per mole of atoms: 58.94
Raw formation energy, meV/atom: -2141
VASP energy, eV/atom: -5.882

Unit cell a=4.323 b=4.323 c=4.323 alpha=90.00 beta=90.00 gamma=90.00
Space group Pm-3m (No. 221)
One atom of each set of equivalent atoms:
Hf1 0.000 0.000 0.000 (multiplicity 1)
Te1 0.500 0.500 0.500 (multiplicity 1)
F1 0.000 0.000 0.500 (multiplicity 3)



No. 10
# Hf3TeF

Hf3TeF after structural relaxation (PBE, the Alexandria database).

Distance to the lowest polymorph of the same formula, kJ per mole of atoms: 0.00
Raw formation energy, meV/atom: -394
VASP energy, eV/atom: -7.368

Unit cell a=4.571 b=4.571 c=4.571 alpha=90.00 beta=90.00 gamma=90.00
Space group Pm-3m (No. 221)
One atom of each set of equivalent atoms:
Hf1 0.000 0.000 0.500 (multiplicity 3)
Te1 0.500 0.500 0.500 (multiplicity 1)
F1 0.000 0.000 0.000 (multiplicity 1)



No. 11
# HfTe2F

HfTe2F after structural relaxation (PBE, the Alexandria database).

Distance to the lowest polymorph of the same formula, kJ per mole of atoms: 10.16
Raw formation energy, meV/atom: -864
VASP energy, eV/atom: -5.391

Unit cell a=6.997 b=6.997 c=6.997 alpha=90.00 beta=90.00 gamma=90.00
Space group Fm-3m (No. 225)
One atom of each set of equivalent atoms:
Hf1 0.000 0.000 0.000 (multiplicity 4)
Te1 0.250 0.250 0.250 (multiplicity 8)
F1 0.000 0.000 0.500 (multiplicity 4)



No. 12
# HfTe2F

HfTe2F after structural relaxation (PBE, the Alexandria database).

Distance to the lowest polymorph of the same formula, kJ per mole of atoms: 0.00
Raw formation energy, meV/atom: -970
VASP energy, eV/atom: -5.497

Unit cell a=4.0223 b=4.0223 c=24.1820 alpha=90.00 beta=90.00 gamma=120.00
Space group R-3m (No. 166, hexagonal axes)
One atom of each set of equivalent atoms:
Hf1 0.0000 0.0000 0.0000 (multiplicity 3)
Te1 0.0000 0.0000 0.4038 (multiplicity 6)
F1 0.0000 0.0000 0.5000 (multiplicity 3)



Look up the VASP energy of the eighth one. -5.106 eV/atom